1.
ReIr2 | Alexandria via LeMat-Bulk | PBE-GGA | relaxed; formation energy = 0.0730 eV/atom; M_tot = 0.00 μB per formula unit; energy above the lowest structure with this stoichiometry = 304 meV/atom; final energy = -9.9837 eV/atom; space group = No. 191
1.0
-3.7036 1.1476 -1.9885
3.1144 -2.0805 -2.2269
-1.1034 -2.3808 0.6811
Re Ir
1 2
Direct
0.0000 0.0000 0.5000
0.6667 0.3333 0.0000
0.3333 0.6667 0.0000



2.
ReIr2 | Alexandria via LeMat-Bulk | PBE-GGA | relaxed; formation energy = 0.1334 eV/atom; M_tot = 0.00 μB per formula unit; energy above the lowest structure with this stoichiometry = 364 meV/atom; final energy = -9.9233 eV/atom; space group = No. 63
1.0
-1.0299 -1.2665 2.1825
6.0380 0.5921 1.4911
-1.0485 4.8502 2.3197
Re Ir
2 4
Direct
0.8394 0.6788 0.5278
0.1606 0.3212 0.0278
0.4999 0.9999 0.7779
0.1586 0.3172 0.5280
0.8414 0.6828 0.0280
0.5001 0.0001 0.2779



3.
ReIr | Alexandria via LeMat-Bulk | PBE-GGA | relaxed; formation energy = -0.1162 eV/atom; M_tot = 0.00 μB per formula unit; energy above the lowest structure with this stoichiometry = 160 meV/atom; final energy = -10.7708 eV/atom; space group = No. 129
1.0
-2.1953 1.4098 -0.8642
-1.5565 -2.2467 0.2890
-1.5971 2.0608 7.4192
Ir Re
2 2
Direct
0.7500 0.7500 0.8636
0.2500 0.2500 0.1364
0.2500 0.2500 0.6345
0.7500 0.7500 0.3655



4.
ReIr2 | Alexandria via LeMat-Bulk | PBE-GGA | relaxed; formation energy = -0.1403 eV/atom; M_tot = 0.00 μB per formula unit; energy above the lowest structure with this stoichiometry = 91 meV/atom; final energy = -10.1970 eV/atom; space group = No. 141
1.0
-1.7113 11.2729 3.4582
-6.1324 8.6550 5.4266
5.2693 -10.4781 -2.0997
Ir Re
8 4
Direct
0.7479 0.7479 0.0000
0.8337 0.3337 0.5000
0.5837 0.5837 0.0000
0.2521 0.2521 0.0000
0.4163 0.4163 0.0000
0.5021 0.0021 0.5000
0.6663 0.1663 0.5000
0.9979 0.4979 0.5000
0.3360 0.8360 0.5000
0.0860 0.0860 0.0000
0.9140 0.9140 0.0000
0.1640 0.6640 0.5000



5.
ReIr | Alexandria via LeMat-Bulk | PBE-GGA | relaxed; formation energy = -0.1913 eV/atom; M_tot = 0.00 μB per formula unit; energy above the lowest structure with this stoichiometry = 85 meV/atom; final energy = -10.8458 eV/atom; space group = No. 12
1.0
4.8189 0.0031 -0.0010
-2.4532 4.6219 -0.0020
0.0000 0.8205 2.6269
Ir Re
2 2
Direct
0.9925 0.9927 0.0037
0.0908 0.5073 0.2463
0.5028 0.0008 0.4996
0.5805 0.4992 0.7504



6.
Re3Ir2 | Alexandria via LeMat-Bulk | PBE-GGA | relaxed; formation energy = 0.6430 eV/atom; M_tot = 0.00 μB per formula unit; energy above the lowest structure with this stoichiometry = 729 meV/atom; final energy = -10.3702 eV/atom; space group = No. 164
1.0
2.0975 -3.6330 0.0000
2.0975 3.6330 0.0000
0.0000 0.0000 5.5404
Ir Re
2 3
Direct
0.6667 0.3333 0.1325
0.3333 0.6667 0.8676
0.3333 0.6667 0.4055
0.0000 0.0000 0.0000
0.6667 0.3333 0.5945



7.
ReIr | Alexandria via LeMat-Bulk | PBE-GGA | relaxed; formation energy = 1.0762 eV/atom; M_tot = 0.00 μB per formula unit; energy above the lowest structure with this stoichiometry = 1352 meV/atom; final energy = -9.5784 eV/atom; space group = No. 186
1.0
-1.2837 3.5606 0.9506
-0.2949 -2.9289 2.5620
6.0124 1.5191 2.4287
Ir Re
2 2
Direct
0.3333 0.6667 0.7270
0.6667 0.3333 0.2270
0.3333 0.6667 0.3550
0.6667 0.3333 0.8550



8.
ReIr | Alexandria via LeMat-Bulk | PBE-GGA | relaxed; formation energy = 1.2999 eV/atom; M_tot = 0.00 μB per formula unit; energy above the lowest structure with this stoichiometry = 1576 meV/atom; final energy = -9.3547 eV/atom; space group = No. 83
1.0
10.4969 0.0000 0.0000
0.0000 10.4969 0.0000
0.0000 0.0000 4.1963
Ir Re
8 8
Direct
0.2272 0.6456 0.5000
0.3544 0.2272 0.5000
0.6456 0.7728 0.5000
0.1102 0.3666 0.0000
0.7728 0.3544 0.5000
0.6334 0.1102 0.0000
0.3666 0.8898 0.0000
0.8898 0.6334 0.0000
0.1180 0.5989 0.0000
0.5989 0.8820 0.0000
0.4084 0.7799 0.5000
0.2201 0.4084 0.5000
0.5916 0.2201 0.5000
0.4011 0.1180 0.0000
0.7799 0.5916 0.5000
0.8820 0.4011 0.0000



formation energy of number 8 (ReIr)? 1.2999 eV/atom



Please write out number 4 again, unchanged.
ReIr2 | Alexandria via LeMat-Bulk | PBE-GGA | relaxed; formation energy = -0.1403 eV/atom; M_tot = 0.00 μB per formula unit; energy above the lowest structure with this stoichiometry = 91 meV/atom; final energy = -10.1970 eV/atom; space group = No. 141
1.0
-1.7113 11.2729 3.4582
-6.1324 8.6550 5.4266
5.2693 -10.4781 -2.0997
Ir Re
8 4
Direct
0.7479 0.7479 0.0000
0.8337 0.3337 0.5000
0.5837 0.5837 0.0000
0.2521 0.2521 0.0000
0.4163 0.4163 0.0000
0.5021 0.0021 0.5000
0.6663 0.1663 0.5000
0.9979 0.4979 0.5000
0.3360 0.8360 0.5000
0.0860 0.0860 0.0000
0.9140 0.9140 0.0000
0.1640 0.6640 0.5000